DFT (PBEsol) results for crystalline Zr2PRh at its relaxed geometry.

a b c (Å): 3.711 3.711 5.410
angles (deg): 90.00 90.00 90.00
Space group P4/mmm (No. 123)
One atom of each set of equivalent atoms:
Zr  0.000  0.000  0.000 [1 per cell]
Zr  0.500  0.500  0.500 [1 per cell]
P  0.000  0.000  0.500 [1 per cell]
Rh  0.500  0.500  0.000 [1 per cell]


DFT (PBEsol) results for crystalline P2Ru at its relaxed geometry.

a b c (Å): 4.0396 4.0396 5.6218
angles (deg): 90.00 90.00 120.00
Space group P6_3/mmc (No. 194)
One atom of each set of equivalent atoms:
P  0.3333  0.6667  0.0484 [4 per cell]
Ru  0.0000  0.0000  0.2500 [2 per cell]


DFT (PBEsol) results for crystalline PRu2 at its relaxed geometry.

a b c (Å): 5.820 3.832 6.923
angles (deg): 90.00 90.00 90.00
Space group Pnma (No. 62)
One atom of each set of equivalent atoms:
P  0.249  0.250  0.111 [4 per cell]
Ru  0.015  0.750  0.345 [4 per cell]
Ru  0.141  0.750  0.924 [4 per cell]


DFT (PBEsol) results for crystalline P3Ru at its relaxed geometry.

a b c (Å): 5.852 5.913 8.056
angles (deg): 68.73 70.25 72.49
Space group P-1 (No. 2)
One atom of each set of equivalent atoms:
P  0.152  0.318  0.415 [2 per cell]
P  0.171  0.916  0.182 [2 per cell]
P  0.193  0.530  0.948 [2 per cell]
P  0.317  0.945  0.560 [2 per cell]
P  0.322  0.335  0.735 [2 per cell]
P  0.342  0.217  0.158 [2 per cell]
Ru  0.227  0.931  0.872 [2 per cell]
Ru  0.277  0.634  0.456 [2 per cell]

Results
Energy above the lowest structure with this stoichiometry (meV per atom): 0.0


| no. | total magnetization (μB per atom) | formation enthalpy at 0 K (meV/atom) |
| --- | --- | --- |
| 1 | 0.000 | -815 |
| 2 | 0.000 | 454 |
| 3 | 0.000 | -436 |
| 4 | 0.000 | -577 |